1.
# Tm3Si3Pt2

Tm3Si3Pt2 after structural relaxation (PBE, Alexandria).

Unit cell a=5.594 b=7.844 c=14.073 alpha=90.00 beta=90.00 gamma=90.00
Fractional coordinates of all 32 atoms:
Si 0.390 0.675 0.250
Pt 0.128 0.906 0.604
Pt 0.372 0.406 0.896
Si 0.610 0.325 0.750
Pt 0.628 0.594 0.396
Pt 0.628 0.594 0.104
Tm 0.620 0.315 0.250
Pt 0.872 0.094 0.396
Tm 0.120 0.185 0.750
Si 0.604 0.307 0.460
Tm 0.128 0.461 0.112
Si 0.396 0.693 0.960
Si 0.110 0.175 0.250
Si 0.604 0.307 0.040
Si 0.104 0.193 0.540
Pt 0.128 0.906 0.896
Si 0.896 0.807 0.460
Tm 0.372 0.961 0.112
Tm 0.880 0.815 0.250
Si 0.896 0.807 0.040
Tm 0.128 0.461 0.388
Tm 0.628 0.039 0.888
Tm 0.628 0.039 0.612
Si 0.890 0.825 0.750
Tm 0.380 0.685 0.750
Pt 0.872 0.094 0.104
Tm 0.372 0.961 0.388
Si 0.104 0.193 0.960
Pt 0.372 0.406 0.604
Si 0.396 0.693 0.540
Tm 0.872 0.539 0.888
Tm 0.872 0.539 0.612

Computed properties:
- Uncorrected formation energy: -1.061 eV per atom
- Crystal system: orthorhombic

2.
# TmSiPt3

TmSiPt3 after structural relaxation (PBE, Alexandria).

Unit cell a=4.970 b=5.659 c=6.725 alpha=90.00 beta=90.00 gamma=90.00
Fractional coordinates of all 10 atoms:
Pt 0.000 0.138 0.173
Pt 0.500 0.000 0.500
Si 0.000 0.000 0.500
Tm 0.500 0.000 0.000
Pt 0.000 0.862 0.827
Pt 0.000 0.362 0.673
Pt 0.000 0.638 0.327
Si 0.000 0.500 0.000
Pt 0.500 0.500 0.000
Tm 0.500 0.500 0.500

Computed properties:
- Uncorrected formation energy: -0.797 eV per atom
- E above lowest polymorph: 0.2345 eV per atom
- Crystal system: orthorhombic

3.
# Tm2SiPt

Tm2SiPt after structural relaxation (PBE, Alexandria).

Unit cell a=4.204 b=5.690 c=7.721 alpha=110.55 beta=90.00 gamma=90.00
Fractional coordinates of all 8 atoms:
Si 0.750 0.666 0.791
Tm 0.750 0.220 0.916
Tm 0.250 0.787 0.561
Pt 0.250 0.357 0.714
Pt 0.750 0.643 0.286
Tm 0.750 0.213 0.439
Tm 0.250 0.780 0.084
Si 0.250 0.334 0.209

Computed properties:
- Uncorrected formation energy: -1.065 eV per atom
- Crystal system: monoclinic

4.
# Tm2Si3Pt9

Tm2Si3Pt9 after structural relaxation (PBE, Alexandria).

Unit cell a=7.650 b=7.650 c=9.970 alpha=90.27 beta=112.40 gamma=119.82
Fractional coordinates of all 28 atoms:
Si 0.500 0.000 0.000
Si 0.500 0.500 0.500
Tm 0.003 0.416 0.249
Pt 0.870 0.022 0.070
Pt 0.892 0.142 0.750
Si 0.178 0.357 0.998
Pt 0.330 0.306 0.244
Pt 0.548 0.200 0.570
Si 0.822 0.643 0.002
Si 0.859 0.180 0.502
Pt 0.439 0.914 0.744
Pt 0.452 0.800 0.430
Pt 0.788 0.481 0.426
Pt 0.783 0.311 0.924
Pt 0.108 0.858 0.250
Tm 0.997 0.584 0.751
Pt 0.561 0.086 0.256
Pt 0.130 0.978 0.930
Pt 0.555 0.361 0.074
Pt 0.445 0.639 0.926
Pt 0.886 0.859 0.576
Si 0.141 0.820 0.498
Pt 0.217 0.689 0.076
Tm 0.667 0.754 0.251
Pt 0.670 0.694 0.756
Tm 0.333 0.246 0.749
Pt 0.114 0.141 0.424
Pt 0.212 0.519 0.574

Computed properties:
- Uncorrected formation energy: -0.968 eV per atom
- Crystal system: monoclinic

5.
# Tm2Si6Pt21

Tm2Si6Pt21 after structural relaxation (PBE, Alexandria).

Unit cell a=8.691 b=8.691 c=8.691 alpha=60.00 beta=60.00 gamma=60.00
Fractional coordinates of all 29 atoms:
Pt 0.383 0.851 0.383
Pt 0.000 0.000 0.345
Pt 0.345 0.655 0.000
Pt 0.000 0.000 0.655
Si 0.733 0.267 0.733
Pt 0.000 0.655 0.345
Pt 0.655 0.345 0.000
Si 0.267 0.267 0.733
Pt 0.383 0.383 0.383
Pt 0.345 0.000 0.000
Pt 0.000 0.345 0.655
Pt 0.617 0.149 0.617
Tm 0.250 0.250 0.250
Pt 0.345 0.000 0.655
Pt 0.851 0.383 0.383
Si 0.267 0.733 0.267
Pt 0.655 0.000 0.000
Pt 0.000 0.345 0.000
Pt 0.000 0.000 0.000
Si 0.733 0.267 0.267
Pt 0.149 0.617 0.617
Pt 0.383 0.383 0.851
Pt 0.617 0.617 0.617
Pt 0.655 0.000 0.345
Tm 0.750 0.750 0.750
Si 0.267 0.733 0.733
Pt 0.617 0.617 0.149
Si 0.733 0.733 0.267
Pt 0.000 0.655 0.000

Computed properties:
- Uncorrected formation energy: -0.676 eV per atom
- Crystal system: cubic

6.
# TmSiPt2

TmSiPt2 after structural relaxation (PBE, Alexandria).

Unit cell a=5.482 b=6.978 c=7.237 alpha=90.00 beta=90.00 gamma=90.00
Fractional coordinates of all 16 atoms:
Tm 0.635 0.250 0.975
Pt 0.909 0.950 0.183
Pt 0.909 0.550 0.183
Tm 0.365 0.750 0.025
Pt 0.409 0.450 0.317
Tm 0.135 0.750 0.525
Pt 0.091 0.050 0.817
Si 0.634 0.750 0.381
Pt 0.591 0.950 0.683
Pt 0.591 0.550 0.683
Pt 0.409 0.050 0.317
Si 0.366 0.250 0.619
Pt 0.091 0.450 0.817
Si 0.866 0.750 0.881
Tm 0.865 0.250 0.475
Si 0.134 0.250 0.119

Computed properties:
- Uncorrected formation energy: -1.196 eV per atom
- Crystal system: orthorhombic

no.,DFT total energy (eV/atom)
1,-6.282
2,-6.400
3,-6.167
4,-6.653
5,-6.480
6,-6.690